No. 1
Compound: CeSm3Pb5
Source: the Alexandria database
Functional: GGA-PBE
Structure: relaxed

## Properties
Density   10.043 g cm⁻³
Total moment   1.05 μB/f.u.
Energy of formation   -432.4 meV per atom
E_tot   -85.0 eV/cell
Crystal system   hexagonal
DOS(E_F)   24.38 states/eV per cell

Cell lengths 6.5437, 9.7445, 9.7445 Å; angles 120.00, 90.00, 90.00 degrees
Last column: magnetic moment on the atom in μB.
Fractional coordinates of all 18 atoms:
Sm 0.2500 0.0000 0.6221  0.00
Pb 0.2500 0.0000 0.2932  0.00
Ce 0.5000 0.0000 0.0000  0.79
Pb 0.0000 0.3333 0.6667  0.01
Pb 0.5000 0.3333 0.6667  0.01
Sm 0.7500 0.0000 0.3779  0.00
Sm 0.7500 0.6221 0.6221  0.00
Pb 0.7500 0.2932 0.2932  0.00
Pb 0.0000 0.6667 0.3333  0.01
Sm 0.2500 0.3779 0.3779  0.00
Pb 0.7500 0.0000 0.7068  0.00
Sm 0.2500 0.6221 0.0000  0.00
Pb 0.5000 0.6667 0.3333  0.01
Sm 0.7500 0.3779 0.0000  0.00
Pb 0.7500 0.7068 0.0000  0.00
Ce 0.0000 0.0000 0.0000  0.79
Pb 0.2500 0.2932 0.0000  0.00
Pb 0.2500 0.7068 0.7068  0.00

No. 2
Compound: Ce2SmPb
Source: the Alexandria database
Functional: GGA-PBE
Structure: relaxed

## Properties
Relative energy among the computed polymorphs   256.3 meV per atom
Density   8.777 g cm⁻³
Total moment   2.76 μB/f.u.
Energy of formation   -42.8 meV per atom
E_tot   -20.5 eV/cell
Crystal system   cubic
DOS(E_F)   14.08 states/eV per cell

Cell lengths 5.5467, 5.5467, 5.5467 Å; angles 60.00, 60.00, 60.00 degrees
Last column: magnetic moment on the atom in μB.
Fractional coordinates of all 4 atoms:
Ce 0.2500 0.2500 0.2500  0.86
Ce 0.7500 0.7500 0.7500  0.86
Pb 0.5000 0.5000 0.5000  -0.01
Sm 0.0000 0.0000 0.0000  0.35

No. 3
Compound: CeSmPb4
Source: the Alexandria database
Functional: GGA-PBE
Structure: relaxed

## Properties
Density   9.995 g cm⁻³
Total moment   1.09 μB/f.u.
Energy of formation   -222.0 meV per atom
E_tot   -26.8 eV/cell
Crystal system   monoclinic
DOS(E_F)   9.83 states/eV per cell

Cell lengths 4.8917, 5.8974, 7.1059 Å; angles 90.00, 90.00, 65.11 degrees
Last column: magnetic moment on the atom in μB.
Fractional coordinates of all 6 atoms:
Pb 0.9061 0.4377 0.2538  0.00
Pb 0.9061 0.4377 0.7426  0.00
Pb 0.5965 0.0569 0.7427  0.00
Pb 0.5965 0.0569 0.2535  0.00
Ce 0.2514 0.7471 0.9981  0.91
Sm 0.2512 0.7475 0.4981  0.03

No. 4
Compound: CeSmPb
Source: the Alexandria database
Functional: GGA-PBE
Structure: relaxed

## Properties
Relative energy among the computed polymorphs   262.4 meV per atom
Density   8.882 g cm⁻³
Total moment   1.84 μB/f.u.
Energy of formation   -152.5 meV per atom
E_tot   -14.8 eV/cell
Crystal system   trigonal
DOS(E_F)   7.43 states/eV per cell

Cell lengths 3.6600, 5.4178, 5.4178 Å; angles 120.00, 90.00, 90.00 degrees
Last column: magnetic moment on the atom in μB.
Fractional coordinates of all 3 atoms:
Sm 0.6059 0.6667 0.3333  0.20
Pb 0.3576 0.3333 0.6667  -0.01
Ce 0.0365 0.0000 0.0000  1.09

No. 5
Compound: Ce2Sm5Pb4
Source: the Alexandria database
Functional: GGA-PBE
Structure: relaxed

## Properties
Density   8.438 g cm⁻³
Total moment   3.27 μB/f.u.
Energy of formation   -81.2 meV per atom
E_tot   -51.2 eV/cell
Crystal system   monoclinic
DOS(E_F)   22.54 states/eV per cell

Cell lengths 3.5316, 7.6603, 13.6541 Å; angles 91.35, 97.43, 90.00 degrees
Last column: magnetic moment on the atom in μB.
Fractional coordinates of all 11 atoms:
Pb 0.0339 0.6630 0.0678  -0.01
Pb 0.6747 0.5066 0.3494  -0.01
Pb 0.3253 0.4934 0.6506  -0.01
Ce 0.0903 0.2879 0.1806  0.98
Sm 0.2349 0.2083 0.4698  0.08
Sm 0.7651 0.7917 0.5302  0.08
Sm 0.5000 0.0000 0.0000  0.04
Pb 0.9661 0.3370 0.9322  -0.01
Sm 0.1405 0.8471 0.2810  0.07
Ce 0.9097 0.7121 0.8194  0.98
Sm 0.8595 0.1529 0.7190  0.07

No. 6
Compound: Ce2SmPb
Source: the Alexandria database
Functional: GGA-PBE
Structure: relaxed

## Properties
Relative energy among the computed polymorphs   115.8 meV per atom
Density   8.479 g cm⁻³
Total moment   2.18 μB/f.u.
Energy of formation   -183.2 meV per atom
E_tot   -21.0 eV/cell
Crystal system   tetragonal
DOS(E_F)   9.87 states/eV per cell

Cell lengths 4.2902, 4.2902, 6.7866 Å; angles 90.00, 90.00, 90.00 degrees
Last column: magnetic moment on the atom in μB.
Fractional coordinates of all 4 atoms:
Pb 0.5000 0.5000 0.5000  -0.03
Ce 0.0000 0.0000 0.2945  0.81
Sm 0.5000 0.5000 0.0000  0.11
Ce 0.0000 0.0000 0.7055  0.81

Question: Which of these has the lowest energy of formation?
Answer: CeSm3Pb5